Material: NaSrPb2
Method: DFT, GGA-PBE
State: relaxed

Results
Space-group type = I-42d
DFT formation energy = -83 meV/atom
Magnetization = 0.00 μB per atom

a = 5.177 Å, b = 5.177 Å, c = 11.494 Å
α = 76.99°, β = 76.99°, γ = 90.00°
Atoms (fractional coordinates):
Pb  0.875  0.812  0.750
Sr  0.000  0.000  0.000
Pb  0.562  0.125  0.250
Na  0.500  0.500  0.000
Pb  0.188  0.625  0.250
Na  0.250  0.750  0.500
Sr  0.750  0.250  0.500
Pb  0.375  0.438  0.750

Material: SrEuGe
Method: DFT, GGA-PBE
State: relaxed

Results
Space-group type = F-43m
DFT formation energy = -498 meV/atom
Magnetization = 2.33 μB per atom

a = 5.339 Å, b = 5.339 Å, c = 5.339 Å
α = 60.00°, β = 60.00°, γ = 60.00°
Each line ends with the local moment (μB).
Atoms (fractional coordinates):
Sr  0.500  0.500  0.500  0.00
Ge  0.250  0.250  0.250  -0.08
Eu  0.000  0.000  0.000  6.85

Number 1: uncorrected energy -21.50 eV for the cell shown. Number 2: uncorrected energy -18.07 eV for the cell shown.